! VOF2 (PBE+U, optimized geometry); values from VASP
! Total energy: -6.468 eV/atom
! Size of the total moment: 2.00 μB/cell
! Mass density: 3.3 g/cm3
&SYSTEM
  ibrav = 0, nat = 8, ntyp = 3
/
ATOMIC_SPECIES
F 19.00 F.upf
V 50.94 V.upf
O 16.00 O.upf
ATOMIC_POSITIONS angstrom
F -2.5232 -3.4743 -2.7679
F -0.5853 -3.8011 0.3979
V 1.3705 -3.5365 0.4835
F -0.3101 -5.1668 -2.6094
O -2.1891 -5.5021 -4.5101
V 0.0000 0.0000 0.0000
O 1.2937 -3.4658 2.2986
F 1.6277 -5.4935 0.5564
CELL_PARAMETERS angstrom
-3.6365 -1.8949 -3.1786
1.3132 -4.1379 -3.0651
1.4278 -2.9352 4.0322